No. 1
Compound: MnPRu2
Source: Alexandria
Functional: PBE
Structure: optimized geometry

a b c (Å): 5.899 5.899 5.899
angles (deg): 90.00 90.00 90.00
Positions (direct):
Mn (0.000, 0.000, 0.000)
Mn (0.000, 0.500, 0.500)
Mn (0.500, 0.000, 0.500)
Mn (0.500, 0.500, 0.000)
P (0.250, 0.250, 0.250)
P (0.250, 0.750, 0.750)
P (0.750, 0.250, 0.750)
P (0.750, 0.750, 0.250)
Ru (0.000, 0.000, 0.500)
Ru (0.000, 0.500, 0.000)
Ru (0.250, 0.250, 0.750)
Ru (0.250, 0.750, 0.250)
Ru (0.500, 0.000, 0.000)
Ru (0.500, 0.500, 0.500)
Ru (0.750, 0.250, 0.250)
Ru (0.750, 0.750, 0.750)

Results
* formation energy: 0.22 eV per atom
* DOS(E_F): 6.3 states/eV/f.u.

---

No. 2
Compound: Ac2BPdPt6
Source: Alexandria
Functional: PBE
Structure: optimized geometry

a b c (Å): 7.522 7.522 7.522
angles (deg): 45.56 45.56 45.56
Positions (direct):
Ac (0.215, 0.215, 0.215)
Ac (0.785, 0.785, 0.785)
B (0.000, 0.000, 0.000)
Pd (0.500, 0.500, 0.500)
Pt (0.233, 0.233, 0.707)
Pt (0.233, 0.707, 0.233)
Pt (0.293, 0.767, 0.767)
Pt (0.707, 0.233, 0.233)
Pt (0.767, 0.293, 0.767)
Pt (0.767, 0.767, 0.293)

Results
* formation energy: -0.80 eV per atom
* DOS(E_F): 6.0 states/eV/f.u.

---

No. 3
Compound: PmNbBi2O8
Source: Alexandria
Functional: PBE
Structure: optimized geometry

a b c (Å): 5.114 5.114 6.958
angles (deg): 90.00 90.00 90.74
Positions (direct):
Pm (0.000, 0.000, 0.000)
Nb (0.000, 0.000, 0.500)
Bi (0.500, 0.500, 0.257)
Bi (0.500, 0.500, 0.743)
O (0.185, 0.185, 0.283)
O (0.185, 0.185, 0.717)
O (0.286, 0.714, 0.500)
O (0.319, 0.681, 0.000)
O (0.681, 0.319, 0.000)
O (0.714, 0.286, 0.500)
O (0.815, 0.815, 0.283)
O (0.815, 0.815, 0.717)

Results
* DOS(E_F): 3.3 states/eV/f.u.
* raw formation energy: -1.938 eV per atom

---

No. 4
Compound: RbTiGa2Re
Source: Alexandria
Functional: PBE
Structure: optimized geometry

a b c (Å): 4.963 4.963 5.163
angles (deg): 90.00 90.00 90.00
Positions (direct):
Rb (0.000, 0.000, 0.000)
Ti (0.000, 0.000, 0.500)
Ga (0.000, 0.500, 0.500)
Ga (0.500, 0.000, 0.500)
Re (0.500, 0.500, 0.000)

Results
* formation energy: 2.02 eV per atom
* DOS(E_F): 8.1 states/eV/f.u.

---

No. 5
Compound: NaCu4Au8
Source: Alexandria
Functional: PBE
Structure: optimized geometry

a b c (Å): 7.010 7.010 7.010
angles (deg): 98.21 98.21 135.60
Positions (direct):
Na (0.000, 0.000, 0.000)
Cu (0.000, 0.000, 0.500)
Cu (0.000, 0.500, 0.000)
Cu (0.500, 0.000, 0.000)
Cu (0.500, 0.500, 0.500)
Au (0.000, 0.338, 0.338)
Au (0.000, 0.662, 0.662)
Au (0.280, 0.500, 0.780)
Au (0.338, 0.000, 0.338)
Au (0.500, 0.280, 0.780)
Au (0.500, 0.720, 0.220)
Au (0.662, 0.000, 0.662)
Au (0.720, 0.500, 0.220)

Results
* formation energy: -0.09 eV per atom
* DOS(E_F): 3.9 states/eV/f.u.

---

No. 6
Compound: MgSb2Pt
Source: Alexandria
Functional: PBE
Structure: optimized geometry

a b c (Å): 4.580 4.580 8.275
angles (deg): 90.00 90.00 90.00
Positions (direct):
Mg (0.000, 0.000, 0.000)
Mg (0.500, 0.500, 0.500)
Sb (0.000, 0.500, 0.250)
Sb (0.000, 0.500, 0.750)
Sb (0.500, 0.000, 0.250)
Sb (0.500, 0.000, 0.750)
Pt (0.000, 0.000, 0.500)
Pt (0.500, 0.500, 0.000)

Results
* DOS(E_F): 2.6 states/eV/f.u.
* raw formation energy: -0.070 eV per atom